#A
Entry from the Alexandria database: a relaxed structure of Nd2Sm4Tm5 (GGA-PBE).

Summary:
* theoretical density: 8.03 g cm⁻³
* density of states at the Fermi level: 18.24 states/eV/f.u.

Cell lengths 3.5727, 8.5871, 14.4299 Å; angles 90.65, 125.84, 89.46 degrees
Fractional coordinates of all 11 atoms:
Nd1 0.9489 0.6494 0.9000
Nd2 0.0511 0.3506 0.1000
Sm1 0.0668 0.2047 0.5283
Sm2 0.2445 0.7459 0.1788
Sm3 0.9332 0.7953 0.4717
Sm4 0.7555 0.2541 0.8212
Tm1 0.8419 0.5265 0.6484
Tm2 0.1581 0.4735 0.3516
Tm3 0.0177 0.9277 0.7146
Tm4 0.5000 0.0000 0.0000
Tm5 0.9823 0.0723 0.2854

#B
Entry from the Alexandria database: a relaxed structure of Nd2Sm4Tm5 (GGA-PBE).

Summary:
* theoretical density: 7.89 g cm⁻³
* density of states at the Fermi level: 17.11 states/eV/f.u.

Cell lengths 3.5306, 8.6315, 14.3647 Å; angles 122.54, 97.06, 90.00 degrees
Fractional coordinates of all 11 atoms:
Nd1 0.7246 0.6233 0.4491
Nd2 0.2754 0.3767 0.5509
Sm1 0.5882 0.4814 0.1763
Sm2 0.0405 0.7407 0.0810
Sm3 0.4118 0.5186 0.8237
Sm4 0.9595 0.2593 0.9190
Tm1 0.1862 0.9000 0.3723
Tm2 0.8138 0.1000 0.6277
Tm3 0.1296 0.2120 0.2592
Tm4 0.5000 0.0000 0.0000
Tm5 0.8704 0.7880 0.7408

Energies relative to the minimum, meV per atom: #A 0; #B 63